Entry 1:
The following is a DFT calculation (PBE) of a relaxed Be2V2GaCo5 crystal.

Cell: 8.3676 8.3676 3.0546 Å, 90.00 90.00 90.00°
Positions (direct):
Be: 0.1208 0.3792 0.0000
Be: 0.3792 0.8792 0.0000
Be: 0.6208 0.1208 0.0000
Be: 0.8792 0.6208 0.0000
V: 0.1746 0.6746 0.0000
V: 0.3254 0.1746 0.0000
V: 0.6746 0.8254 0.0000
V: 0.8254 0.3254 0.0000
Ga: 0.0000 0.0000 0.0000
Ga: 0.5000 0.5000 0.0000
Co: 0.0000 0.5000 0.5000
Co: 0.0710 0.2120 0.5000
Co: 0.2120 0.9290 0.5000
Co: 0.2880 0.4290 0.5000
Co: 0.4290 0.7120 0.5000
Co: 0.5000 0.0000 0.5000
Co: 0.5710 0.2880 0.5000
Co: 0.7120 0.5710 0.5000
Co: 0.7880 0.0710 0.5000
Co: 0.9290 0.7880 0.5000

Calculated values
Its formation energy is -184 kJ/mol of formula units. Its space group is No. 127. The crystal system is tetragonal.


Entry 2:
The following is a DFT calculation (PBE) of a relaxed BeVGaCo crystal.

Cell: 4.0161 4.0161 4.0161 Å, 60.00 60.00 60.00°
Positions (direct):
Be: 0.0000 0.0000 0.0000
V: 0.2500 0.2500 0.2500
Ga: 0.7500 0.7500 0.7500
Co: 0.5000 0.5000 0.5000

Calculated values
Its formation energy is -58 kJ/mol of formula units. Its space group is No. 216. The crystal system is cubic.


Entry 3:
The following is a DFT calculation (PBE) of a relaxed Be2VGaCo crystal.

Cell: 3.9835 3.9835 4.2444 Å, 90.00 90.00 90.00°
Positions (direct):
Be: 0.0000 0.5000 0.0000
Be: 0.5000 0.0000 0.0000
V: 0.0000 0.0000 0.5000
Ga: 0.5000 0.5000 0.5000
Co: 0.0000 0.0000 0.0000

Calculated values
Its formation energy is 214 kJ/mol of formula units. Its space group is No. 123. The crystal system is tetragonal.


Entry 4:
The following is a DFT calculation (PBE) of a relaxed GdBe4Co crystal.

Cell: 4.6153 4.6153 4.6153 Å, 60.00 60.00 60.00°
Positions (direct):
Gd: 0.0000 0.0000 0.0000
Be: 0.1372 0.6209 0.6209
Be: 0.6209 0.1372 0.6209
Be: 0.6209 0.6209 0.1372
Be: 0.6209 0.6209 0.6209
Co: 0.2500 0.2500 0.2500

Calculated values
Its formation energy is -33 kJ/mol of formula units. Its space group is No. 216. The crystal system is cubic.


Entry 5:
The following is a DFT calculation (PBE) of a relaxed GdYBeCo crystal.

Cell: 4.8008 4.8008 4.8008 Å, 60.00 60.00 60.00°
Positions (direct):
Gd: 0.0000 0.0000 0.0000
Y: 0.5000 0.5000 0.5000
Be: 0.2500 0.2500 0.2500
Co: 0.7500 0.7500 0.7500

Calculated values
Its formation energy is 0 kJ/mol of formula units. Its space group is No. 216. The crystal system is cubic.


Entry 6:
The following is a DFT calculation (PBE) of a relaxed BeCoGe3 crystal.

Cell: 4.5184 4.5184 4.5184 Å, 90.00 90.00 90.00°
Positions (direct):
Be: 0.0000 0.0000 0.0000
Co: 0.5000 0.5000 0.5000
Ge: 0.0000 0.5000 0.5000
Ge: 0.5000 0.0000 0.5000
Ge: 0.5000 0.5000 0.0000

Calculated values
Its formation energy is 279 kJ/mol of formula units. Its space group is No. 221. The crystal system is cubic. The calculation puts the energy relative to the lowest polymorph listed for this composition at 0 meV/atom.